Density functional theory data (GGA-PBE) for crystalline Nd2ErSc2 at its relaxed geometry.

The structure in extended XYZ format:
```
10
Lattice="8.6532 0.5566 0.6034 -1.2531 8.5800 0.6034 -2.7136 -3.3503 3.8538" Properties=species:S:1:pos:R:3 pbc="T T T"
Nd 4.5662 3.9043 2.7340
Nd 3.1727 2.1838 0.3997
Nd 1.5139 3.6024 4.6610
Nd 0.1204 1.8820 2.3266
Er -1.2634 7.2014 1.5669
Er 5.9500 -1.4151 3.4938
Sc 1.3345 5.0972 1.5669
Sc 6.0590 1.2706 1.5669
Sc -1.3725 4.5156 3.4938
Sc 3.3521 0.6891 3.4938
```

Space-group type = C2/c (15)
E above lowest polymorph = 206 meV/atom
Formation enthalpy at 0 K = 338 meV/atom
D(E_F) = 7.192 states/eV/f.u.


Density functional theory data (GGA-PBE) for crystalline Co2CuRe2 at its relaxed geometry.

The structure in extended XYZ format:
```
10
Lattice="-1.2791 -2.1233 6.6666 5.2735 -4.7464 -0.4999 1.6839 1.7773 0.8892" Properties=species:S:1:pos:R:3 pbc="T T T"
Re 4.1737 -2.6798 1.2676
Re 4.3358 -4.4630 4.5249
Re 1.5046 -2.4126 5.7883
Re 1.3425 -0.6294 2.5310
Co 4.1530 -4.9809 2.0909
Co 2.1466 -4.8123 5.5538
Co -0.1586 -1.8888 4.0758
Co 1.8478 -2.0574 0.6129
Cu 0.0000 0.0000 0.0000
Cu 1.9972 -3.4348 3.0834
```

Space-group type = P4/mbm (127)
E above lowest polymorph = 0 meV/atom
Formation enthalpy at 0 K = 278 meV/atom
D(E_F) = 6.067 states/eV/f.u.


Density functional theory data (GGA-PBE) for crystalline PmPa3Se6 at its relaxed geometry.

The structure in extended XYZ format:
```
20
Lattice="7.1440 0.0000 0.0000 0.0000 8.7450 0.0912 0.0000 -1.8625 8.5449" Properties=species:S:1:pos:R:3 pbc="T T T"
Pm 7.1098 -0.0354 7.0888
Pm 3.5378 6.9179 1.5473
Pa 3.4471 6.7155 6.2843
Pa 7.0191 4.6272 7.9485
Pa 2.6625 2.4846 5.0804
Pa 6.2346 4.3979 3.5557
Pa 7.0191 0.1670 2.3518
Pa 3.4471 2.2553 0.6876
Se 1.2404 5.0128 5.4009
Se 4.8125 4.1461 6.0916
Se 1.5964 2.2563 7.8109
Se 5.1684 7.1105 3.9424
Se 1.7019 -1.8476 8.5330
Se 4.4295 0.6832 6.5160
Se 0.8575 6.1993 2.1200
Se 5.2739 8.7301 0.1031
Se 1.5964 -0.2280 4.6937
Se 5.1684 4.6262 0.8252
Se 1.2404 2.7364 2.5445
Se 4.8125 1.8697 3.2352
```

Space-group type = Cmc2_1 (36)
E_form (uncorrected) = -1.3408 eV/atom
D(E_F) = 17.107 states/eV/f.u.


Density functional theory data (GGA-PBE) for crystalline BaTa2Cr at its relaxed geometry.

The structure in extended XYZ format:
```
4
Lattice="4.9845 0.0000 0.0000 2.4922 4.3167 0.0000 2.4922 1.4389 4.0698" Properties=species:S:1:pos:R:3 pbc="T T T"
Ba 4.9845 2.8778 2.0349
Cr 7.4767 4.3167 3.0524
Ta 0.0000 0.0000 0.0000
Ta 2.4922 1.4389 1.0175
```

Space-group type = F-43m (216)
E above lowest polymorph = 578 meV/atom
Formation enthalpy at 0 K = 1212 meV/atom
D(E_F) = 4.062 states/eV/f.u.


Density functional theory data (GGA-PBE) for crystalline DyInCl6 at its relaxed geometry.

The structure in extended XYZ format:
```
8
Lattice="-4.2043 -2.7914 4.9376 3.6960 -3.6634 -4.7714 4.9328 1.6087 3.8694" Properties=species:S:1:pos:R:3 pbc="T T T"
Dy 0.0000 0.0000 0.0000
In 2.2123 -2.4230 2.0178
Cl 3.5572 -0.4134 2.9317
Cl 0.0399 -1.1534 2.4196
Cl 0.8674 -4.4326 1.1039
Cl 2.1597 -3.4471 4.3505
Cl 4.3847 -3.6927 1.6160
Cl 2.2649 -1.3990 -0.3149
```

Space-group type = C2/m (12)
E_form (uncorrected) = -1.6348 eV/atom
D(E_F) = 0.000 states/eV/f.u.


Density functional theory data (GGA-PBE) for crystalline Ce2CoRh at its relaxed geometry.

The structure in extended XYZ format:
```
4
Lattice="3.4353 0.0000 0.0000 0.0000 3.4353 0.0000 0.0000 0.0000 6.7384" Properties=species:S:1:pos:R:3 pbc="T T T"
Co 1.7176 1.7176 0.0000
Rh 1.7176 1.7176 3.3692
Ce 0.0000 0.0000 5.1479
Ce 0.0000 0.0000 1.5904
```

Space-group type = P4/mmm (123)
E above lowest polymorph = 127 meV/atom
Formation enthalpy at 0 K = -374 meV/atom
D(E_F) = 7.143 states/eV/f.u.


Density functional theory data (GGA-PBE) for crystalline NaZn2In2 at its relaxed geometry.

The structure in extended XYZ format:
```
10
Lattice="5.9896 0.0000 1.9200 2.9948 6.9004 0.9600 -0.1169 0.0000 5.9530" Properties=species:S:1:pos:R:3 pbc="T T T"
Na 2.9071 5.1563 5.4247
Na 5.9603 1.7441 3.4082
Zn 5.9019 6.4334 6.3847
Zn 2.9655 2.9939 2.4482
Zn 5.9019 3.9065 6.3847
Zn 2.9655 0.4670 2.4482
In 7.3238 5.1630 4.2653
In 4.2705 1.7374 6.2818
In 1.5436 1.7374 4.5677
In 4.5969 5.1630 2.5512
```

Space-group type = C2/c (15)
E above lowest polymorph = 69 meV/atom
Formation enthalpy at 0 K = 43 meV/atom
D(E_F) = 2.243 states/eV/f.u.


Density functional theory data (GGA-PBE) for crystalline CdInBrCl2 at its relaxed geometry.

The structure in extended XYZ format:
```
10
Lattice="7.1615 0.0000 0.0000 0.0000 7.1615 0.0000 -3.5807 -3.5807 5.6906" Properties=species:S:1:pos:R:3 pbc="T T T"
Cd 0.0000 0.0000 0.0052
Cd 3.5807 3.5807 0.0052
In 3.5807 0.0000 2.8774
In 0.0000 3.5807 2.8774
Br 3.5807 3.5807 2.8399
Br 0.0000 0.0000 2.8399
Cl -1.2761 2.3047 5.6759
Cl 2.3047 1.2761 5.6759
Cl 1.2761 -2.3047 5.6759
Cl -2.3047 -1.2761 5.6759
```

Space-group type = I4cm (108)
E above lowest polymorph = 0 meV/atom
E_form (uncorrected) = -0.8770 eV/atom


Density functional theory data (GGA-PBE) for crystalline KNaSiC2 at its relaxed geometry.

The structure in extended XYZ format:
```
5
Lattice="5.3585 0.0000 0.0000 0.0000 5.9837 0.0000 0.0000 0.0000 5.3585" Properties=species:S:1:pos:R:3 pbc="T T T"
C 0.0000 0.0000 2.6792
C 2.6792 0.0000 0.0000
Na 2.6792 2.9919 2.6792
K 0.0000 0.0000 0.0000
Si 0.0000 2.9919 0.0000
```

Space-group type = P4/mmm (123)
E_form (uncorrected) = 2.9684 eV/atom
D(E_F) = 6.505 states/eV/f.u.


Density functional theory data (GGA-PBE) for crystalline CuSi5 at its relaxed geometry.

The structure in extended XYZ format:
```
6
Lattice="-1.7946 -0.2080 4.6910 -4.5279 -2.0015 0.8724 -0.3806 -4.4266 2.3515" Properties=species:S:1:pos:R:3 pbc="T T T"
Cu 0.0000 0.0000 0.0000
Si -5.0273 -4.9771 5.9361
Si -3.4111 -2.5918 5.3149
Si -4.7791 -3.4895 3.4037
Si -2.7033 -4.7032 4.1440
Si -2.5128 -2.4877 2.9671
```

Space-group type = F-43m (216)
E above lowest polymorph = 314 meV/atom
E_form (uncorrected) = 0.6196 eV/atom
D(E_F) = 2.697 states/eV/f.u.


Density functional theory data (GGA-PBE) for crystalline Pu2FeNi at its relaxed geometry.

The structure in extended XYZ format:
```
4
Lattice="2.4913 0.0000 0.0000 0.0000 2.4913 0.0000 0.0000 0.0000 9.4210" Properties=species:S:1:pos:R:3 pbc="T T T"
Ni 1.2456 1.2456 4.7105
Fe 1.2456 1.2456 0.0000
Pu 0.0000 0.0000 7.0087
Pu 0.0000 0.0000 2.4123
```

Space-group type = P4/mmm (123)
E above lowest polymorph = 387 meV/atom
Formation enthalpy at 0 K = 406 meV/atom
D(E_F) = 8.864 states/eV/f.u.


Density functional theory data (GGA-PBE) for crystalline Al3FeS at its relaxed geometry.

The structure in extended XYZ format:
```
5
Lattice="4.5236 0.0000 0.0000 0.0000 4.5236 0.0000 0.0000 0.0000 4.5236" Properties=species:S:1:pos:R:3 pbc="T T T"
S 2.2618 2.2618 2.2618
Fe 0.0000 0.0000 0.0000
Al 0.0000 2.2618 0.0000
Al 0.0000 0.0000 2.2618
Al 2.2618 0.0000 0.0000
```

Space-group type = Pm-3m (221)
E above lowest polymorph = 0 meV/atom
E_form (uncorrected) = 0.2836 eV/atom
D(E_F) = 5.609 states/eV/f.u.